Entry 1:
A plane-wave DFT calculation with PBE was carried out for a relaxed structure of Ta4FeNiC2.

Symmetry   No. 187
E_tot   -82.1 eV per cell

The structure in extended XYZ format:
```
8
Lattice="-2.312 -0.434 1.991 2.863 -0.859 0.752 2.192 11.788 5.117" Properties=species:S:1:pos:R:3 pbc="T T T"
Fe 0.509 5.318 4.137
Ta 1.271 9.413 5.915
C 1.686 2.229 2.444
C 2.782 8.124 5.003
Ta -0.253 1.223 2.359
Ta 0.765 4.115 1.786
Ni 0.000 0.000 0.000
Ta 1.427 7.673 3.331
```

***

Entry 2:
A plane-wave DFT calculation with PBE was carried out for a relaxed structure of Y4FeNiC2.

Symmetry   No. 187
E_tot   -58.3 eV per cell

The structure in extended XYZ format:
```
8
Lattice="3.592 0.000 0.000 -1.796 3.111 0.000 0.000 0.000 13.837" Properties=species:S:1:pos:R:3 pbc="T T T"
C 0.000 2.074 10.268
Y 1.796 1.037 2.216
Y 1.796 1.037 11.621
Y 0.000 0.000 4.954
Y 0.000 0.000 8.884
Ni 1.796 1.037 6.919
C 0.000 2.074 3.569
Fe 0.000 0.000 0.000
```

***

Entry 3:
A plane-wave DFT calculation with PBE was carried out for a relaxed structure of Fe5PC2.

Symmetry   No. 140
E_tot   -129.3 eV per cell

The structure in extended XYZ format:
```
16
Lattice="2.295 -5.619 2.449 -1.840 -0.666 6.246 -3.344 1.388 -5.453" Properties=species:S:1:pos:R:3 pbc="T T T"
C -0.952 -1.604 -1.110
Fe -1.396 -1.302 3.868
C -1.937 -3.293 4.352
Fe -1.048 -3.539 2.233
Fe -1.265 -3.098 6.353
P 0.341 -4.714 6.521
Fe 0.000 0.000 0.000
C -3.236 -0.002 0.168
Fe 0.228 -3.143 4.347
Fe -1.841 -1.359 1.009
P 0.114 -1.571 2.174
Fe -1.624 -1.800 -3.111
Fe -0.918 -5.335 4.717
Fe -1.971 0.437 -1.476
Fe -1.493 -3.596 -0.626
C 0.347 -4.896 3.074
```

***

Entry 4:
A plane-wave DFT calculation with PBE was carried out for a relaxed structure of Sc4FePC2.

Symmetry   No. 187
E_tot   -60.9 eV per cell

The structure in extended XYZ format:
```
8
Lattice="-1.290 -1.911 2.378 1.927 -1.339 -2.337 10.663 2.186 7.541" Properties=species:S:1:pos:R:3 pbc="T T T"
Fe 0.000 0.000 0.000
Sc 3.777 0.774 2.671
Sc 1.546 -1.359 2.053
Sc 8.682 0.104 7.100
C 8.771 0.093 4.833
C 3.602 -0.966 1.177
Sc 6.886 1.411 4.870
P 5.114 -0.627 4.577
```